Record 1
Material: Cd3RhO4
Method: DFT, PBE
State: optimized geometry

a = 4.657 Å, b = 4.658 Å, c = 9.674 Å
α = 90.00°, β = 90.00°, γ = 90.00°
Sites, in units of the cell vectors:
1 Cd 0.064 0.251 0.500
2 Cd 0.564 0.250 0.250
3 Cd 0.564 0.749 0.000
4 Cd 0.564 0.250 0.750
5 Cd 0.064 0.750 0.750
6 Cd 0.064 0.750 0.250
7 O 0.064 0.756 0.000
8 O 0.065 0.751 0.500
9 O 0.564 0.244 0.500
10 O 0.564 0.749 0.721
11 O 0.064 0.251 0.221
12 O 0.564 0.749 0.279
13 O 0.565 0.249 0.000
14 O 0.064 0.251 0.779
15 Rh 0.564 0.749 0.500
16 Rh 0.064 0.251 0.000

Calculated values
uncorrected energy	-0.3294	Ry per atom
SG	Pmmn, No. 59

Record 2
Material: CdRh4O8
Method: DFT, PBE
State: optimized geometry

a = 6.270 Å, b = 6.270 Å, c = 6.270 Å
α = 60.00°, β = 60.00°, γ = 60.00°
Each line ends with the local moment (μB).
Sites, in units of the cell vectors:
1 Rh 0.374 0.374 0.879  0.25
2 Rh 0.374 0.879 0.374  0.25
3 Rh 0.374 0.374 0.374  0.25
4 Rh 0.879 0.374 0.374  0.25
5 Cd 0.750 0.750 0.750  0.01
6 O 0.147 0.147 0.558  0.09
7 O 0.607 0.179 0.607  0.02
8 O 0.147 0.558 0.147  0.09
9 O 0.558 0.147 0.147  0.09
10 O 0.607 0.607 0.179  0.02
11 O 0.607 0.607 0.607  0.02
12 O 0.147 0.147 0.147  0.09
13 O 0.179 0.607 0.607  0.02

Calculated values
uncorrected energy	-0.4493	Ry per atom
SG	F-43m, No. 216

Look up the uncorrected energy of the first one. -0.3294 Ry per atom

What is the formula in the second record? CdRh4O8